Run P
ScTlCdFe, optimized geometry, DFT GGA-PBE; crystal system = cubic; density = 8.9 Mg/m³
1.0
0.0000 3.3929 3.3929
3.3929 0.0000 3.3929
3.3929 3.3929 0.0000
Tl Fe Cd Sc
1 1 1 1
direct
0.0000 0.0000 0.0000
0.7500 0.7500 0.7500
0.2500 0.2500 0.2500
0.5000 0.5000 0.5000

=====

Run Q
ScTlCdFe, optimized geometry, DFT GGA-PBE; crystal system = cubic; density = 9.0 Mg/m³
1.0
0.0000 3.3777 3.3777
3.3777 0.0000 3.3777
3.3777 3.3777 0.0000
Sc Fe Cd Tl
1 1 1 1
direct
0.2500 0.2500 0.2500
0.7500 0.7500 0.7500
0.5000 0.5000 0.5000
0.0000 0.0000 0.0000

=====

run Q wins, 84 meV per atom ahead of the next structure.

=====

Run P
ScZnCdFe, optimized geometry, DFT GGA-PBE; crystal system = cubic; density = 6.8 Mg/m³
1.0
-1.7975 -3.9328 -1.5216
0.5083 -3.8476 2.4394
-3.6070 -1.8507 2.1395
Zn Cd Fe Sc
1 1 1 1
direct
0.0000 0.0000 0.0000
0.2500 0.2500 0.2500
0.7500 0.7500 0.7500
0.5000 0.5000 0.5000

=====

Run Q
ScZnCdFe, optimized geometry, DFT GGA-PBE; crystal system = cubic; density = 6.8 Mg/m³
1.0
-4.4985 0.6432 0.6543
-2.7100 1.0479 -3.5547
-3.0132 -3.0842 -1.5769
Sc Fe Zn Cd
1 1 1 1
direct
0.2500 0.2500 0.2500
0.7500 0.7500 0.7500
0.0000 0.0000 0.0000
0.5000 0.5000 0.5000

=====

run Q wins, 66 meV per atom ahead of the next structure.

=====

Run P
CdFeSnSe3, optimized geometry, DFT GGA-PBE; crystal system = orthorhombic; density = 6.1 Mg/m³
1.0
-1.1054 -1.6937 -3.4155
10.0341 1.4957 -3.9891
2.3702 -5.0783 4.0578
Cd Se Fe Sn
2 6 2 2
direct
0.0000 0.2500 0.0000
0.0000 0.7500 0.0000
0.9221 0.0000 0.8441
0.3577 0.6817 0.7154
0.0779 0.5000 0.1559
0.6423 0.1817 0.2846
0.3577 0.3183 0.7154
0.6423 0.8183 0.2846
0.5365 0.0000 0.0729
0.4635 0.5000 0.9271
0.7709 0.5000 0.5418
0.2291 0.0000 0.4582

=====

Run Q
CdFeSnSe3, optimized geometry, DFT GGA-PBE; crystal system = orthorhombic; density = 6.1 Mg/m³
1.0
-3.5349 -0.3879 -0.9611
-2.9157 -5.1967 5.7623
-2.3194 7.4337 5.5305
Cd Fe Se Sn
2 2 6 2
direct
0.6954 0.6092 0.2500
0.3046 0.3908 0.7500
0.0000 0.0000 0.0000
0.0000 0.0000 0.5000
0.0328 0.9344 0.7500
0.9672 0.0656 0.2500
0.5975 0.8050 0.0249
0.4025 0.1950 0.9751
0.4025 0.1950 0.5249
0.5975 0.8050 0.4751
0.6600 0.6800 0.7500
0.3400 0.3200 0.2500

=====

run P wins, 19 meV per atom ahead of the next structure.